DFT (PBE with a Hubbard U) results for a relaxed structure of VS2OF.

Output
Total moment in μB/f.u.: 0.114
E_tot in eV per atom: -4.11
Symmetry: P4/mmm

a = 4.4668 Å, b = 4.4668 Å, c = 3.7834 Å
α = 90.00°, β = 90.00°, γ = 90.00°
Fractional coordinates of all 5 atoms:
V  0.0000  0.0000  0.0000
S  0.0000  0.5000  0.5000
S  0.5000  0.0000  0.5000
O  0.0000  0.0000  0.5000
F  0.5000  0.5000  0.0000